(1)
Density functional theory data (GGA-PBE) for a relaxed structure of NdY2Tm3.

Cell lengths 9.405, 13.107, 6.330 Å; angles 90.00, 90.00, 90.00 degrees
Space group Cmc2_1 (No. 36)
One atom of each set of equivalent atoms:
Nd 0.000 0.175 0.000 (multiplicity 4)
Y 0.183 0.443 0.775 (multiplicity 8)
Tm 0.000 0.082 0.526 (multiplicity 4)
Tm 0.181 0.302 0.328 (multiplicity 8)

Summary:
* formation enthalpy at 0 K: 220 meV per atom
* mass density: 7.05 Mg/m³
* total moment: 0.00 μB/f.u.



(2)
Density functional theory data (GGA-PBE) for a relaxed structure of Nd2Y6Tm.

Cell lengths 12.878, 14.406, 6.592 Å; angles 90.00, 103.95, 90.00 degrees
Space group C2/c (No. 15)
One atom of each set of equivalent atoms:
Nd 0.141 0.024 0.373 (multiplicity 8)
Y 0.037 0.189 0.006 (multiplicity 8)
Y 0.133 0.411 0.810 (multiplicity 8)
Y 0.241 0.199 0.727 (multiplicity 8)
Tm 0.000 0.384 0.250 (multiplicity 4)

Summary:
* formation enthalpy at 0 K: 107 meV per atom
* mass density: 5.55 Mg/m³
* total moment: 0.00 μB/f.u.



(3)
Density functional theory data (GGA-PBE) for a relaxed structure of Nd4YTm2.

Cell lengths 6.891, 11.431, 12.138 Å; angles 90.00, 90.00, 90.00 degrees
Space group Imma (No. 74)
One atom of each set of equivalent atoms:
Nd 0.000 0.003 0.149 (multiplicity 8)
Nd 0.221 0.250 0.990 (multiplicity 8)
Y 0.250 0.250 0.250 (multiplicity 4)
Tm 0.000 0.000 0.500 (multiplicity 4)
Tm 0.000 0.250 0.718 (multiplicity 4)

Summary:
* formation enthalpy at 0 K: 259 meV per atom
* mass density: 6.97 Mg/m³
* total moment: 0.00 μB/f.u.



(4)
Density functional theory data (GGA-PBE) for a relaxed structure of Nd2Y5Tm5.

Cell lengths 15.089, 5.026, 11.243 Å; angles 90.00, 116.55, 90.00 degrees
Space group C2/m (No. 12)
One atom of each set of equivalent atoms:
Nd 0.083 0.000 0.248 (multiplicity 4)
Y 0.000 0.500 0.000 (multiplicity 2)
Y 0.085 0.500 0.751 (multiplicity 4)
Y 0.166 0.500 0.500 (multiplicity 4)
Tm 0.000 0.000 0.500 (multiplicity 2)
Tm 0.168 0.000 0.001 (multiplicity 4)
Tm 0.249 0.000 0.751 (multiplicity 4)

Summary:
* formation enthalpy at 0 K: 27 meV per atom
* mass density: 6.87 Mg/m³
* total moment: 0.00 μB/f.u.



(5)
Density functional theory data (GGA-PBE) for a relaxed structure of NdY3Tm3.

Cell lengths 8.6269, 8.6269, 21.6515 Å; angles 90.00, 90.00, 120.00 degrees
Space group R-3 (No. 148, hexagonal axes)
One atom of each set of equivalent atoms:
Nd 0.0000 0.0000 0.1504 (multiplicity 6)
Y 0.0556 0.6067 0.3801 (multiplicity 18)
Tm 0.0060 0.7748 0.5586 (multiplicity 18)

Summary:
* formation enthalpy at 0 K: 208 meV per atom
* mass density: 6.55 Mg/m³
* total moment: 0.00 μB/f.u.



(6)
Density functional theory data (GGA-PBE) for a relaxed structure of Nd7YTm2.

Cell lengths 6.261, 6.299, 9.611 Å; angles 102.74, 108.86, 99.50 degrees
Space group P-1 (No. 2)
One atom of each set of equivalent atoms:
Nd 0.000 0.000 0.000 (multiplicity 1)
Nd 0.199 0.597 0.198 (multiplicity 2)
Nd 0.202 0.102 0.703 (multiplicity 2)
Nd 0.403 0.200 0.399 (multiplicity 2)
Y 0.000 0.500 0.500 (multiplicity 1)
Tm 0.401 0.701 0.902 (multiplicity 2)

Summary:
* formation enthalpy at 0 K: 17 meV per atom
* mass density: 7.05 Mg/m³
* total moment: 0.00 μB/f.u.



(7)
Density functional theory data (GGA-PBE) for a relaxed structure of Nd12Y7Tm.

Cell lengths 18.9489, 18.9489, 6.8197 Å; angles 90.00, 90.00, 120.00 degrees
Space group R-3 (No. 148, hexagonal axes)
One atom of each set of equivalent atoms:
Nd 0.0006 0.2109 0.2872 (multiplicity 18)
Nd 0.0061 0.5357 0.7429 (multiplicity 18)
Y 0.0000 0.0000 0.5000 (multiplicity 3)
Y 0.0070 0.1540 0.7806 (multiplicity 18)
Tm 0.0000 0.0000 0.0000 (multiplicity 3)

Summary:
* formation enthalpy at 0 K: 276 meV per atom
* mass density: 5.92 Mg/m³
* total moment: 0.00 μB/f.u.



(8)
Density functional theory data (GGA-PBE) for a relaxed structure of Nd3Y5Tm4.

Cell lengths 17.721, 5.700, 8.737 Å; angles 90.00, 116.38, 90.00 degrees
Space group C2/m (No. 12)
One atom of each set of equivalent atoms:
Nd 0.000 0.000 0.000 (multiplicity 2)
Nd 0.185 0.500 0.228 (multiplicity 4)
Y 0.000 0.500 0.000 (multiplicity 2)
Y 0.094 0.000 0.438 (multiplicity 4)
Y 0.163 0.000 0.895 (multiplicity 4)
Tm 0.039 0.500 0.697 (multiplicity 4)
Tm 0.210 0.500 0.644 (multiplicity 4)

Summary:
* formation enthalpy at 0 K: 268 meV per atom
* mass density: 6.52 Mg/m³
* total moment: 0.37 μB/f.u.



(9)
Density functional theory data (GGA-PBE) for a relaxed structure of Nd2Y7Tm3.

Cell lengths 5.789, 3.601, 18.726 Å; angles 90.00, 93.84, 90.00 degrees
Space group P2/m (No. 10)
One atom of each set of equivalent atoms:
Nd 0.205 0.000 0.295 (multiplicity 2)
Y 0.178 0.500 0.142 (multiplicity 2)
Y 0.242 0.000 0.463 (multiplicity 2)
Y 0.318 0.000 0.822 (multiplicity 2)
Y 0.500 0.500 0.000 (multiplicity 1)
Tm 0.000 0.000 0.000 (multiplicity 1)
Tm 0.279 0.500 0.630 (multiplicity 2)

Summary:
* formation enthalpy at 0 K: 91 meV per atom
* mass density: 6.04 Mg/m³
* total moment: 0.00 μB/f.u.



(10)
Density functional theory data (GGA-PBE) for a relaxed structure of Nd4Y6Tm.

Cell lengths 5.785, 9.748, 25.994 Å; angles 90.00, 90.00, 90.00 degrees
Space group Cmcm (No. 63)
One atom of each set of equivalent atoms:
Nd 0.000 0.030 0.122 (multiplicity 8)
Nd 0.000 0.344 0.045 (multiplicity 8)
Y 0.000 0.000 0.000 (multiplicity 4)
Y 0.000 0.018 0.250 (multiplicity 4)
Y 0.000 0.310 0.607 (multiplicity 8)
Y 0.000 0.355 0.183 (multiplicity 8)
Tm 0.000 0.316 0.750 (multiplicity 4)

Summary:
* formation enthalpy at 0 K: 117 meV per atom
* mass density: 5.80 Mg/m³
* total moment: 0.00 μB/f.u.



(11)
Density functional theory data (GGA-PBE) for a relaxed structure of Nd2YTm7.

Cell lengths 6.117, 7.058, 7.914 Å; angles 77.11, 75.02, 73.40 degrees
Space group P-1 (No. 2)
One atom of each set of equivalent atoms:
Nd 0.202 0.298 0.099 (multiplicity 2)
Y 0.000 0.500 0.500 (multiplicity 1)
Tm 0.000 0.000 0.500 (multiplicity 1)
Tm 0.199 0.801 0.101 (multiplicity 2)
Tm 0.400 0.601 0.699 (multiplicity 2)
Tm 0.402 0.100 0.697 (multiplicity 2)

Summary:
* formation enthalpy at 0 K: 26 meV per atom
* mass density: 8.30 Mg/m³
* total moment: 0.00 μB/f.u.



(12)
Density functional theory data (GGA-PBE) for a relaxed structure of Nd2Y3Tm6.

Cell lengths 6.084, 10.550, 11.639 Å; angles 90.00, 100.09, 90.00 degrees
Space group C2/m (No. 12)
One atom of each set of equivalent atoms:
Nd 0.000 0.167 0.000 (multiplicity 4)
Y 0.000 0.000 0.500 (multiplicity 2)
Y 0.000 0.335 0.500 (multiplicity 4)
Tm 0.249 0.167 0.748 (multiplicity 8)
Tm 0.250 0.000 0.252 (multiplicity 4)

Summary:
* formation enthalpy at 0 K: 194 meV per atom
* mass density: 7.08 Mg/m³
* total moment: 0.00 μB/f.u.



> The highest mass density belongs to which entry?

Nd2YTm7